Entry 1:
## MnZn2Cd (GGA-PBE)

Data for a geometry-optimized MnZn2Cd structure.

Results
Symmetry: I-4m2 (119)
Crystal system: tetragonal
Formation enthalpy at 0 K, meV per atom: 150

Cell lengths 4.906, 4.906, 4.906 Å; angles 131.49, 131.49, 71.03 degrees
Element x y z (fractional)
Mn 0.000 0.000 0.000
Zn 0.250 0.750 0.500
Zn 0.500 0.500 0.000
Cd 0.750 0.250 0.500

Entry 2:
## CaGd3Fe (GGA-PBE)

Data for a geometry-optimized CaGd3Fe structure.

Results
Symmetry: Pm-3m (221)
Crystal system: cubic
Formation enthalpy at 0 K, meV per atom: 42

Cell lengths 5.362, 5.362, 5.362 Å; angles 90.00, 90.00, 90.00 degrees
Element x y z (fractional)
Ca 0.000 0.000 0.000
Gd 0.000 0.500 0.500
Gd 0.500 0.000 0.500
Gd 0.500 0.500 0.000
Fe 0.500 0.500 0.500

Entry 3:
## FeAsPC (GGA-PBE)

Data for a geometry-optimized FeAsPC structure.

Results
Symmetry: P1 (1)
Crystal system: triclinic
Formation enthalpy at 0 K, meV per atom: 441
Excess energy over the best structure of this formula in the dataset, eV per atom: 0.257

Cell lengths 2.698, 3.658, 6.424 Å; angles 81.69, 78.42, 68.38 degrees
Element x y z (fractional)
Fe 0.000 0.000 0.000
As 0.285 0.764 0.650
P 0.217 0.385 0.191
C 0.353 0.391 0.899

Entry 4:
## AcInSb2 (GGA-PBE)

Data for a geometry-optimized AcInSb2 structure.

Results
Symmetry: P4/mmm (123)
Uncorrected formation energy, meV/atom: -578
Crystal system: tetragonal
Excess energy over the best structure of this formula in the dataset, eV per atom: 0.000

Cell lengths 5.095, 5.095, 4.637 Å; angles 90.00, 90.00, 90.00 degrees
Element x y z (fractional)
Ac 0.000 0.000 0.000
In 0.500 0.500 0.000
Sb 0.000 0.500 0.500
Sb 0.500 0.000 0.500